(1)
First-principles (PBE) data for crystalline TaMn2Ir at its relaxed geometry, as listed in Alexandria.

Cell lengths 3.7640, 3.7765, 7.9607 Å; angles 90.00, 90.00, 90.00 degrees
Last column: nearest neighbours and their distance in Å.
Positions (direct):
Ta (0.0000, 0.0000, 0.0000)  4 Ir 2.67, 8 Mn 2.74
Ta (0.5000, 0.5000, 0.5000)  4 Ir 2.67, 8 Mn 2.74
Mn (0.0000, 0.5000, 0.2499)  4 Mn 2.67, 4 Ir 2.74, 4 Ta 2.74
Mn (0.0000, 0.5000, 0.7501)  4 Mn 2.67, 4 Ir 2.74, 4 Ta 2.74
Mn (0.5000, 0.0000, 0.2501)  4 Mn 2.67, 4 Ir 2.74, 4 Ta 2.74
Mn (0.5000, 0.0000, 0.7499)  4 Mn 2.67, 4 Ir 2.74, 4 Ta 2.74
Ir (0.0000, 0.0000, 0.5000)  4 Ta 2.67, 8 Mn 2.74
Ir (0.5000, 0.5000, 0.0000)  4 Ta 2.67, 8 Mn 2.74

Computed properties:
For the density of states at the Fermi level, the calculation gives 8.512 states/eV per cell. The value obtained for the volume is 113.2 Å³ per cell. Its formation energy is -0.138 eV per atom. The value obtained for the polymorph energy (0 for the lowest one) is 7.9 kJ per mole of atoms.



(2)
First-principles (PBE) data for crystalline Ta2MnIr at its relaxed geometry, as listed in Alexandria.

Cell lengths 2.9425, 4.4523, 4.8271 Å; angles 90.00, 97.04, 90.00 degrees
Last column: nearest neighbours and their distance in Å.
Positions (direct):
Ta (0.0000, 0.0000, 0.0000)  1 Mn 2.47, 4 Ir 2.71-2.75
Ta (0.1310, 0.5000, 0.5846)  3 Ir 2.68-2.70, 4 Mn 2.68-2.70, 2 Ta 2.94
Mn (0.6228, 0.0000, 0.5127)  5 Ta 2.47-2.70
Ir (0.5370, 0.5000, 0.1177)  7 Ta 2.68-2.75, 2 Mn 2.92, 2 Ir 2.94

Computed properties:
For the density of states at the Fermi level, the calculation gives 2.915 states/eV per cell. The value obtained for the volume is 62.8 Å³ per cell. Its formation energy is -0.242 eV per atom.



(3)
First-principles (PBE) data for crystalline TaMnIr2 at its relaxed geometry, as listed in Alexandria.

Cell lengths 2.8562, 2.8562, 26.1241 Å; angles 90.00, 90.00, 120.00 degrees
Last column: nearest neighbours and their distance in Å.
Positions (direct):
Ta (0.0000, 0.0000, 0.0000)  6 Ir 2.78, 6 Ta 2.86
Ta (0.3333, 0.6667, 0.6667)  6 Ir 2.78, 6 Ta 2.86
Ta (0.6667, 0.3333, 0.3333)  6 Ir 2.78, 6 Ta 2.86
Mn (0.0000, 0.0000, 0.5000)  6 Ir 2.68, 6 Mn 2.86
Mn (0.3333, 0.6667, 0.1667)  6 Ir 2.68, 6 Mn 2.86
Mn (0.6667, 0.3333, 0.8333)  6 Ir 2.68, 6 Mn 2.86
Ir (0.0000, 0.0000, 0.2475)  3 Mn 2.68, 3 Ta 2.78, 6 Ir 2.86
Ir (0.0000, 0.0000, 0.7525)  3 Mn 2.68, 3 Ta 2.78, 6 Ir 2.86
Ir (0.3333, 0.6667, 0.4191)  3 Mn 2.68, 3 Ta 2.78, 6 Ir 2.86
Ir (0.3333, 0.6667, 0.9142)  3 Mn 2.68, 3 Ta 2.78, 6 Ir 2.86
Ir (0.6667, 0.3333, 0.0858)  3 Mn 2.68, 3 Ta 2.78, 6 Ir 2.86
Ir (0.6667, 0.3333, 0.5809)  3 Mn 2.68, 3 Ta 2.78, 6 Ir 2.86

Computed properties:
For the density of states at the Fermi level, the calculation gives 14.804 states/eV per cell. The value obtained for the volume is 184.6 Å³ per cell. Its formation energy is -0.145 eV per atom.



(4)
First-principles (PBE) data for crystalline Ta4MnIr at its relaxed geometry, as listed in Alexandria.

Cell lengths 5.3377, 5.3377, 5.3377 Å; angles 60.00, 60.00, 60.00 degrees
Last column: nearest neighbours and their distance in Å.
Positions (direct):
Ta (0.1252, 0.1252, 0.1252)  6 Ta 2.66-2.67
Ta (0.1252, 0.1252, 0.6244)  6 Ta 2.66-2.67
Ta (0.1252, 0.6244, 0.1252)  6 Ta 2.66-2.67
Ta (0.6244, 0.1252, 0.1252)  6 Ta 2.66-2.67
Mn (0.5000, 0.5000, 0.5000)  12 Ta 3.13, 4 Ir 3.27
Ir (0.7500, 0.7500, 0.7500)  12 Ta 3.13, 4 Mn 3.27

Computed properties:
For the density of states at the Fermi level, the calculation gives 4.793 states/eV per cell. The value obtained for the volume is 107.5 Å³ per cell. Its formation energy is 0.382 eV per atom.